Entry 1:
# NiSbIr2

A geometry-optimized NiSbIr2 structure (PBE, Alexandria).

The structure in POSCAR format:
```
NiSbIr2
1.0
-0.128 2.771 -1.139
-3.186 0.478 1.519
2.549 2.051 4.702
Ir Ni Sb
2 1 1
direct
0.000 0.000 0.019
0.000 0.000 0.481
0.500 0.500 0.250
0.500 0.500 0.750
```

## Properties
* total energy: -6.72 eV/atom
* formation energy without anion corrections: 0.18 eV/atom
* magnetic moment: 0.15 μB per atom

***

Entry 2:
# NiSbIr2

A geometry-optimized NiSbIr2 structure (PBE, Alexandria).

The structure in POSCAR format:
```
NiSbIr2
1.0
-3.047 1.907 1.144
-1.450 -2.439 0.204
1.044 -1.787 5.761
Ir Ni Sb
2 1 1
direct
0.000 0.788 0.047
0.500 0.184 0.258
0.000 0.573 0.481
0.500 0.955 0.714
```

## Properties
* total energy: -6.70 eV/atom
* formation energy without anion corrections: 0.21 eV/atom
* magnetic moment: 0.00 μB per atom

***

Entry 3:
# Ni2SbIr

A geometry-optimized Ni2SbIr structure (PBE, Alexandria).

The structure in POSCAR format:
```
Ni2SbIr
1.0
3.781 0.000 0.000
0.000 3.781 0.000
1.890 1.890 8.854
Sb Ir Ni
2 2 4
direct
0.500 0.500 0.000
0.250 0.750 0.500
0.000 0.000 0.000
0.750 0.250 0.500
0.645 0.125 0.250
0.105 0.625 0.250
0.375 0.355 0.750
0.875 0.895 0.750
```

## Properties
* total energy: -5.86 eV/atom
* formation energy without anion corrections: 0.28 eV/atom
* magnetic moment: 0.00 μB per atom

***

Entry 4:
# Ni2SbIr

A geometry-optimized Ni2SbIr structure (PBE, Alexandria).

The structure in POSCAR format:
```
Ni2SbIr
1.0
-3.784 -2.666 -0.019
-0.130 -2.151 -4.097
3.418 0.327 3.104
Ir Ni Sb
1 2 1
direct
0.750 0.250 0.500
0.000 0.000 0.000
0.250 0.750 0.500
0.500 0.500 0.000
```

## Properties
* total energy: -6.19 eV/atom
* formation energy without anion corrections: -0.06 eV/atom
* magnetic moment: 0.00 μB per atom

***

Entry 5:
# NiSbIr2

A geometry-optimized NiSbIr2 structure (PBE, Alexandria).

The structure in POSCAR format:
```
NiSbIr2
1.0
4.439 0.000 0.000
2.220 3.844 0.000
2.220 1.281 3.624
Ir Ni Sb
2 1 1
direct
0.000 0.000 0.000
0.250 0.250 0.250
0.500 0.500 0.500
0.750 0.750 0.750
```

## Properties
* total energy: -6.63 eV/atom
* formation energy without anion corrections: 0.28 eV/atom
* magnetic moment: 0.00 μB per atom

***

Entry 6:
# Ni6SbIr

A geometry-optimized Ni6SbIr structure (PBE, Alexandria).

The structure in POSCAR format:
```
Ni6SbIr
1.0
-4.745 0.214 4.231
5.519 -0.917 3.027
1.236 10.298 0.866
Ir Ni Sb
4 24 4
direct
0.247 0.753 0.750
0.753 0.247 0.750
0.500 0.500 0.506
0.500 0.500 0.994
0.253 0.747 0.505
0.873 0.620 0.628
0.127 0.380 0.628
0.747 0.253 0.505
0.380 0.127 0.628
0.620 0.873 0.628
0.500 0.500 0.250
0.132 0.379 0.378
0.379 0.132 0.378
0.253 0.747 0.995
0.868 0.621 0.122
0.132 0.379 0.122
0.747 0.253 0.995
0.379 0.132 0.122
0.621 0.868 0.122
0.500 0.500 0.750
0.127 0.380 0.872
0.380 0.127 0.872
0.000 0.000 0.250
0.621 0.868 0.378
0.868 0.621 0.378
0.000 0.000 0.750
0.620 0.873 0.872
0.873 0.620 0.872
0.248 0.752 0.250
0.752 0.248 0.250
0.000 0.000 0.503
0.000 0.000 0.997
```

## Properties
* polymorph energy (0 for the lowest one): 0 meV per atom
* total energy: -5.99 eV/atom
* formation energy without anion corrections: -0.04 eV/atom
* magnetic moment: 0.00 μB per atom

***

Entry 7:
# NiSbIr2

A geometry-optimized NiSbIr2 structure (PBE, Alexandria).

The structure in POSCAR format:
```
NiSbIr2
1.0
-2.095 2.718 3.359
1.501 -1.432 4.331
2.418 1.162 -3.983
Ir Ni Sb
2 1 1
direct
0.000 0.000 0.000
0.250 0.750 0.500
0.500 0.500 0.000
0.750 0.250 0.500
```

## Properties
* total energy: -6.74 eV/atom
* formation energy without anion corrections: 0.17 eV/atom
* magnetic moment: 0.21 μB per atom

***

Entry 8:
# NiSbIr

A geometry-optimized NiSbIr structure (PBE, Alexandria).

The structure in POSCAR format:
```
NiSbIr
1.0
4.683 -0.005 -0.004
2.123 4.174 0.004
-3.145 -2.505 2.400
Ir Ni Sb
1 1 1
direct
0.996 0.996 0.000
0.340 0.340 0.000
0.664 0.664 0.000
```

## Properties
* total energy: -6.15 eV/atom
* formation energy without anion corrections: 0.11 eV/atom
* magnetic moment: 0.00 μB per atom

***

Entry 9:
# NiSb2Ir

A geometry-optimized NiSb2Ir structure (PBE, Alexandria).

The structure in POSCAR format:
```
NiSb2Ir
1.0
-1.161 -1.559 2.388
3.271 -0.377 1.344
-0.819 6.427 3.798
Ir Ni Sb
1 1 2
direct
0.000 0.000 0.532
0.500 0.500 0.727
0.000 0.000 0.897
0.500 0.500 0.343
```

## Properties
* polymorph energy (0 for the lowest one): 95 meV per atom
* total energy: -5.71 eV/atom
* formation energy without anion corrections: 0.01 eV/atom
* magnetic moment: 0.00 μB per atom

***

Entry 10:
# NiSbIr2

A geometry-optimized NiSbIr2 structure (PBE, Alexandria).

The structure in POSCAR format:
```
NiSbIr2
1.0
-1.630 -1.954 1.308
2.234 1.122 1.392
-5.313 6.587 3.220
Ir Ni Sb
2 1 1
direct
0.000 0.000 0.024
0.000 0.000 0.476
0.500 0.500 0.250
0.500 0.500 0.750
```

## Properties
* total energy: -6.33 eV/atom
* formation energy without anion corrections: 0.57 eV/atom
* magnetic moment: 0.08 μB per atom

***

Entry 11:
# NiSbIr2

A geometry-optimized NiSbIr2 structure (PBE, Alexandria).

The structure in POSCAR format:
```
NiSbIr2
1.0
8.359 -0.014 -0.008
7.829 2.930 -0.008
7.829 1.410 2.568
Ir Ni Sb
2 1 1
direct
0.996 0.996 0.996
0.504 0.504 0.504
0.250 0.250 0.250
0.750 0.750 0.750
```

## Properties
* total energy: -6.50 eV/atom
* formation energy without anion corrections: 0.41 eV/atom
* magnetic moment: 0.20 μB per atom

***

Entry 12:
# Ni2SbIr

A geometry-optimized Ni2SbIr structure (PBE, Alexandria).

The structure in POSCAR format:
```
Ni2SbIr
1.0
-7.813 0.934 2.229
-7.468 -1.945 2.708
-6.650 -0.005 4.760
Ir Ni Sb
1 2 1
direct
0.750 0.750 0.750
0.001 0.001 0.001
0.499 0.499 0.499
0.250 0.250 0.250
```

## Properties
* total energy: -5.80 eV/atom
* formation energy without anion corrections: 0.34 eV/atom
* magnetic moment: 0.26 μB per atom